# 1
Material: KBe2Pb
Method: DFT, PBE
State: relaxed

Values from the calculation:
As for the energy of formation: 487 meV/atom. As for the total energy: -2.577 eV/atom. As for the space group: C2/m (12).

Cell lengths 4.8520, 4.8520, 6.5223 Å; angles 71.23, 71.23, 50.21 degrees
Sites, in units of the cell vectors:
Be 0.9760 0.9760 0.2266
Be 0.5240 0.5240 0.2734
K 0.7500 0.7500 0.7500
Pb 0.2500 0.2500 0.2500

# 2
Material: MgZr2RhN
Method: DFT, PBE
State: relaxed

Values from the calculation:
As for the total energy: -7.681 eV/atom. As for the space group: P4/mmm (123). The uncorrected formation energy comes out at -0.81 eV per atom.

Cell lengths 4.4709, 4.4709, 4.0761 Å; angles 90.00, 90.00, 90.00 degrees
Sites, in units of the cell vectors:
Zr 0.5000 0.0000 0.0000
Zr 0.0000 0.5000 0.0000
Mg 0.0000 0.0000 0.5000
N 0.0000 0.0000 0.0000
Rh 0.5000 0.5000 0.5000

# 3
Material: SeBr2OF
Method: DFT, PBE
State: relaxed

Values from the calculation:
The calculation puts the energy above the lowest structure with this stoichiometry at 0.456 eV/atom. As for the total energy: -1.744 eV/atom. As for the space group: P4/mmm (123). The uncorrected formation energy comes out at 0.99 eV per atom.

Cell lengths 5.4916, 5.4916, 3.8505 Å; angles 90.00, 90.00, 90.00 degrees
Sites, in units of the cell vectors:
F 0.0000 0.0000 0.0000
Br 0.0000 0.5000 0.0000
Br 0.5000 0.0000 0.0000
Se 0.0000 0.0000 0.5000
O 0.5000 0.5000 0.5000

# 4
Material: YMg2
Method: DFT, PBE
State: relaxed

Values from the calculation:
As for the energy of formation: -38 meV/atom. As for the total energy: -3.256 eV/atom. As for the space group: C2/m (12).

Cell lengths 6.5012, 6.5012, 7.0880 Å; angles 72.04, 72.04, 34.00 degrees
Sites, in units of the cell vectors:
Mg 0.9662 0.9662 0.5371
Mg 0.9782 0.9782 0.0740
Mg 0.6323 0.6323 0.2280
Mg 0.3121 0.3121 0.3831
Y 0.6316 0.6316 0.7218
Y 0.3129 0.3129 0.8893

# 5
Material: SmDy2Tm2In
Method: DFT, PBE
State: relaxed

Values from the calculation:
As for the energy of formation: -18 meV/atom. As for the total energy: -4.285 eV/atom. As for the space group: Pnnm (58).

Cell lengths 5.4220, 10.1148, 6.6019 Å; angles 90.00, 90.00, 90.00 degrees
Sites, in units of the cell vectors:
Tm 0.0000 0.6283 0.2950
Tm 0.5000 0.1283 0.2050
Tm 0.5000 0.8717 0.7950
Tm 0.0000 0.3717 0.7050
Dy 0.5000 0.1937 0.7147
Dy 0.0000 0.3063 0.2147
Dy 0.5000 0.8063 0.2853
Dy 0.0000 0.6937 0.7853
In 0.0000 0.0000 0.0000
In 0.5000 0.5000 0.5000
Sm 0.5000 0.5000 0.0000
Sm 0.0000 0.0000 0.5000

# 6
Material: LiZnPd2
Method: DFT, PBE
State: relaxed

Values from the calculation:
As for the energy of formation: -568 meV/atom. As for the total energy: -3.961 eV/atom. As for the space group: P4/mmm (123).

Cell lengths 3.0176, 4.2889, 4.2889 Å; angles 90.00, 90.00, 90.00 degrees
Sites, in units of the cell vectors:
Pd 0.0000 0.5000 0.0000
Pd 0.0000 0.0000 0.5000
Zn 0.5000 0.0000 0.0000
Li 0.5000 0.5000 0.5000

# 7
Material: ZrHgAu
Method: DFT, PBE
State: relaxed

Values from the calculation:
As for the energy of formation: -301 meV/atom. As for the total energy: -4.344 eV/atom. As for the space group: P-6m2 (187).

Cell lengths 4.8166, 4.8166, 2.9997 Å; angles 90.00, 90.00, 120.00 degrees
Sites, in units of the cell vectors:
Hg 0.6667 0.3333 0.1667
Au 0.0000 0.0000 0.1666
Zr 0.3333 0.6667 0.6668

# 8
Material: Co2Ni2Bi
Method: DFT, PBE
State: relaxed

Values from the calculation:
The calculation puts the energy above the lowest structure with this stoichiometry at 0.040 eV/atom. As for the energy of formation: 382 meV/atom. As for the total energy: -5.549 eV/atom. As for the space group: I4/mmm (139).

Cell lengths 3.6975, 3.6975, 5.9824 Å; angles 72.00, 72.00, 90.00 degrees
Sites, in units of the cell vectors:
Co 0.3907 0.3907 0.2187
Co 0.6093 0.6093 0.7813
Bi 0.0000 0.0000 0.0000
Ni 0.7500 0.2500 0.5000
Ni 0.2500 0.7500 0.5000